1.
## AlIrPb2 (PBE)

Data for a geometry-optimized AlIrPb2 structure.

Calculated values
Calculated total energy (eV for the cell shown): -19.7
Energy relative to the elements (eV per atom): 0.09
DOS(E_F) (states/eV per cell): 2.040

abc: 3.7364 6.6413 6.6418
angles: 42.28 90.00 90.00
Element x y z (fractional)
Pb (0.0000, 0.9140, 0.9140)
Pb (0.0000, 0.5860, 0.5860)
Al (0.5000, 0.2500, 0.2500)
Ir (0.5000, 0.7500, 0.7500)

2.
## Al3IrPb (PBE)

Data for a geometry-optimized Al3IrPb structure.

Calculated values
Calculated total energy (eV for the cell shown): -24.3
Energy relative to the elements (eV per atom): -0.11
Energy relative to the lowest polymorph listed for this composition (meV per atom): 0
DOS(E_F) (states/eV per cell): 3.095

abc: 4.8129 4.8129 4.8129
angles: 90.00 90.00 90.00
Element x y z (fractional)
Al (0.0000, 0.0000, 0.5000)
Al (0.0000, 0.5000, 0.0000)
Al (0.5000, 0.0000, 0.0000)
Ir (0.0000, 0.0000, 0.0000)
Pb (0.5000, 0.5000, 0.5000)

3.
## AlIrPb2 (PBE)

Data for a geometry-optimized AlIrPb2 structure.

Calculated values
Calculated total energy (eV for the cell shown): -19.8
Energy relative to the elements (eV per atom): 0.05
DOS(E_F) (states/eV per cell): 2.023

abc: 4.0899 4.3519 5.5338
angles: 66.69 90.00 90.00
Element x y z (fractional)
Pb (0.0000, 0.9743, 0.9221)
Pb (0.5000, 0.2725, 0.3338)
Al (0.0000, 0.6896, 0.4930)
Ir (0.5000, 0.5637, 0.7512)

4.
## AlIrPb3 (PBE)

Data for a geometry-optimized AlIrPb3 structure.

Calculated values
Calculated total energy (eV for the cell shown): -21.4
Energy relative to the elements (eV per atom): 0.47
Energy relative to the lowest polymorph listed for this composition (meV per atom): 0
DOS(E_F) (states/eV per cell): 2.626

abc: 5.3317 5.3317 5.3317
angles: 90.00 90.00 90.00
Element x y z (fractional)
Pb (0.0000, 0.5000, 0.0000)
Pb (0.5000, 0.0000, 0.0000)
Pb (0.0000, 0.0000, 0.5000)
Al (0.5000, 0.5000, 0.5000)
Ir (0.0000, 0.0000, 0.0000)

5.
## AlIrPb (PBE)

Data for a geometry-optimized AlIrPb structure.

Calculated values
Calculated total energy (eV for the cell shown): -16.6
Energy relative to the elements (eV per atom): -0.10
DOS(E_F) (states/eV per cell): 1.688

abc: 6.5406 6.5405 3.1447
angles: 76.09 76.09 27.82
Element x y z (fractional)
Pb (0.6816, 0.6816, 0.3184)
Al (0.9571, 0.9571, 0.0429)
Ir (0.3613, 0.3613, 0.6387)

6.
## Al4IrPb (PBE)

Data for a geometry-optimized Al4IrPb structure.

Calculated values
Calculated total energy (eV for the cell shown): -25.9
Energy relative to the elements (eV per atom): 0.28
DOS(E_F) (states/eV per cell): 3.361

abc: 5.3405 5.3405 5.3405
angles: 60.00 60.00 60.00
Element x y z (fractional)
Al (0.3752, 0.3752, 0.3752)
Al (0.8744, 0.3752, 0.3752)
Al (0.3752, 0.3752, 0.8744)
Al (0.3752, 0.8744, 0.3752)
Pb (0.0000, 0.0000, 0.0000)
Ir (0.7500, 0.7500, 0.7500)

7.
## AlIrPb2 (PBE)

Data for a geometry-optimized AlIrPb2 structure.

Calculated values
Calculated total energy (eV for the cell shown): -35.9
Energy relative to the elements (eV per atom): 0.52
DOS(E_F) (states/eV per cell): 4.390

abc: 4.3031 4.3031 10.3432
angles: 77.99 77.99 90.00
Element x y z (fractional)
Pb (0.1227, 0.6250, 0.2500)
Pb (0.6273, 0.1250, 0.2500)
Pb (0.3750, 0.3727, 0.7500)
Pb (0.8750, 0.8773, 0.7500)
Al (0.2500, 0.7500, 0.5000)
Al (0.5000, 0.5000, 0.0000)
Ir (0.7500, 0.2500, 0.5000)
Ir (0.0000, 0.0000, 0.0000)

8.
## AlIrPb2 (PBE)

Data for a geometry-optimized AlIrPb2 structure.

Calculated values
Calculated total energy (eV for the cell shown): -18.1
Energy relative to the elements (eV per atom): 0.47
DOS(E_F) (states/eV per cell): 2.205

abc: 5.1659 5.1659 3.4035
angles: 90.00 90.00 106.53
Element x y z (fractional)
Al (0.5000, 0.0000, 0.5000)
Pb (0.5000, 0.5000, 0.0000)
Pb (0.0000, 0.0000, 0.0000)
Ir (0.0000, 0.5000, 0.5000)

9.
## AlIrPb2 (PBE)

Data for a geometry-optimized AlIrPb2 structure.

Calculated values
Calculated total energy (eV for the cell shown): -20.5
Energy relative to the elements (eV per atom): -0.12
DOS(E_F) (states/eV per cell): 1.213

abc: 3.1469 3.4511 8.4497
angles: 90.00 90.00 90.00
Element x y z (fractional)
Al (0.0000, 0.0000, 0.5700)
Ir (0.5000, 0.5000, 0.6861)
Pb (0.5000, 0.5000, 0.3086)
Pb (0.0000, 0.0000, 0.9353)

10.
## AlIrPb2 (PBE)

Data for a geometry-optimized AlIrPb2 structure.

Calculated values
Calculated total energy (eV for the cell shown): -18.1
Energy relative to the elements (eV per atom): 0.47
DOS(E_F) (states/eV per cell): 2.209

abc: 4.2021 4.9295 4.2264
angles: 90.00 90.00 90.00
Element x y z (fractional)
Pb (0.0000, 0.0000, 0.0000)
Pb (0.5000, 0.5000, 0.0000)
Al (0.5000, 0.0000, 0.5000)
Ir (0.0000, 0.5000, 0.5000)

11.
## AlIrPb2 (PBE)

Data for a geometry-optimized AlIrPb2 structure.

Calculated values
Calculated total energy (eV for the cell shown): -18.3
Energy relative to the elements (eV per atom): 0.42
DOS(E_F) (states/eV per cell): 2.021

abc: 5.2825 5.2825 5.2825
angles: 133.42 121.87 77.57
Element x y z (fractional)
Ir (0.2500, 0.7500, 0.5000)
Al (0.7500, 0.2500, 0.5000)
Pb (0.4888, 0.4888, 0.0000)
Pb (0.0112, 0.0112, 0.0000)

12.
## AlIrPb2 (PBE)

Data for a geometry-optimized AlIrPb2 structure.

Calculated values
Calculated total energy (eV for the cell shown): -20.3
Energy relative to the elements (eV per atom): -0.06
DOS(E_F) (states/eV per cell): 3.010

abc: 8.0197 8.0197 4.0209
angles: 75.54 75.54 22.57
Element x y z (fractional)
Ir (0.2500, 0.2500, 0.2500)
Al (0.7500, 0.7500, 0.7500)
Pb (0.9166, 0.9166, 0.0829)
Pb (0.5834, 0.5834, 0.4171)

Number 6 is which compound? Al4IrPb

calculated total energy of number 3 (AlIrPb2)? -19.8 eV for the cell shown

Which formula does entry 11 have? AlIrPb2